Rb2OsBr7: relaxed, PBE.

ρ (kg/m³): 3996
Formation energy without anion corrections (eV per formula unit): -7.0
Relative energy among the computed polymorphs (kJ per mole of atoms): 0.0
DOS at the Fermi energy (states/eV per atom): 0.422
SG: I4/mmm
Magnetization (μB per atom): 0.300

Lattice parameters (Å, degrees): 8.1256 8.1256 8.1594 60.14 60.14 90.00
With the nearest neighbours (Å) after each atom.
Positions (direct):
Os  0.0000  0.0000  0.0000  6 Br 2.50-2.51
Br  0.5000  0.5000  0.0000  6 Br 3.24-3.29
Br  0.2162  0.2162  0.5677  1 Os 2.50
Br  0.7838  0.7838  0.4323  1 Os 2.50
Br  0.2181  0.2181  0.0000  1 Os 2.51
Br  0.7819  0.7819  0.0000  1 Os 2.51
Br  0.7819  0.2181  0.0000  1 Os 2.51
Br  0.2181  0.7819  0.0000  1 Os 2.51
Rb  0.7500  0.2500  0.5000  12 Br 4.08-4.10
Rb  0.2500  0.7500  0.5000  12 Br 4.08-4.10

AcNdPI: relaxed, PBE.

ρ (kg/m³): 6863
Formation energy without anion corrections (eV per formula unit): -5.3
DOS at the Fermi energy (states/eV per atom): 0.393
SG: R3m
Magnetization (μB per atom): 0.000

Lattice parameters (Å, degrees): 4.2671 4.2681 8.4831 90.00 104.56 120.00
With the nearest neighbours (Å) after each atom.
Positions (direct):
Ac  0.5053  0.1505  0.6713  3 P 3.02
Nd  0.0996  0.9477  0.0624  3 P 2.85
P  0.3152  0.5555  0.8861  3 Nd 2.85, 3 Ac 3.02
I  0.9578  0.3770  0.3499  3 Nd 3.39, 3 Ac 3.59

Nb2FeGeB: relaxed, PBE.

ρ (kg/m³): 7343
Total DFT energy (no corrections) (eV/cell): -37.7
DOS at the Fermi energy (states/eV per atom): 2.363
SG: P4/mmm
Magnetization (μB per atom): 0.001

Lattice parameters (Å, degrees): 4.3672 3.8550 4.3672 90.00 90.00 90.00
With the nearest neighbours (Å) after each atom.
Positions (direct):
Nb  0.0000  0.0000  0.5000  2 B 2.18
Nb  0.5000  0.0000  0.0000  2 B 2.18
B  0.0000  0.0000  0.0000  2 Ge 1.93
Ge  0.0000  0.5000  0.0000  2 B 1.93
Fe  0.5000  0.5000  0.5000  8 Nb 2.91, 4 Ge 3.09

Hf3B4Mo: relaxed, PBE.

ρ (kg/m³): 10481
Total DFT energy (no corrections) (eV/cell): -71.5
DOS at the Fermi energy (states/eV per atom): 0.445
SG: Immm
Magnetization (μB per atom): 0.000

Lattice parameters (Å, degrees): 3.4390 4.9119 7.0018 110.53 104.22 90.00
With the nearest neighbours (Å) after each atom.
Positions (direct):
Hf  0.0000  0.5000  0.0000  8 B 2.52
Hf  0.1900  0.1900  0.3799  6 B 2.44-2.48
Hf  0.8100  0.8100  0.6201  6 B 2.44-2.48
B  0.3709  0.5427  0.7418  1 B 1.69
B  0.6291  0.4573  0.2582  1 B 1.69
B  0.6292  0.8009  0.2584  1 B 1.69
B  0.3708  0.1991  0.7416  1 B 1.69
Mo  0.5000  0.0000  0.0000  4 B 2.30

Q: Look up the DOS at the Fermi energy of the second one.
A: 0.393 states/eV per atom